1.
Crystalline As2Se3 at its relaxed geometry. Source: Alexandria, functional PBE-GGA.

a = 10.772 Å, b = 4.471 Å, c = 12.157 Å
α = 90.69°, β = 90.00°, γ = 90.00°
Sites, in units of the cell vectors:
As1 0.820 0.127 0.014
Se1 0.604 0.985 0.656
Se2 0.126 0.517 0.402
As2 0.680 0.627 0.514
As3 0.180 0.873 0.986
As4 0.697 0.623 0.235
Se3 0.710 0.442 0.880
Se4 0.290 0.558 0.120
Se5 0.210 0.058 0.620
As5 0.803 0.123 0.735
Se6 0.896 0.485 0.156
Se7 0.790 0.942 0.380
Se8 0.396 0.015 0.344
Se9 0.104 0.515 0.844
As6 0.320 0.373 0.486
Se10 0.874 0.483 0.598
Se11 0.626 0.983 0.098
As7 0.197 0.877 0.265
As8 0.303 0.377 0.765
Se12 0.374 0.017 0.902

Values from the calculation:
**Size of the total moment**: 0.000 Bohr magnetons per cell
**Formation energy from raw total energies**: -0.121 eV per atom

***

2.
Crystalline AsSe at its relaxed geometry. Source: Alexandria, functional PBE-GGA.

a = 2.692 Å, b = 2.692 Å, c = 13.217 Å
α = 90.00°, β = 90.00°, γ = 90.00°
Sites, in units of the cell vectors:
Se1 0.250 0.250 0.153
As1 0.250 0.250 0.593
As2 0.750 0.750 0.407
Se2 0.750 0.750 0.847

Values from the calculation:
**Size of the total moment**: 0.000 Bohr magnetons per cell
**Formation energy from raw total energies**: 0.397 eV per atom
**DOS(E_F)**: 3.116 states/eV per cell

***

3.
Crystalline AsSe at its relaxed geometry. Source: Alexandria, functional PBE-GGA.

a = 3.409 Å, b = 3.409 Å, c = 3.409 Å
α = 90.00°, β = 90.00°, γ = 90.00°
Sites, in units of the cell vectors:
Se1 0.500 0.500 0.500
As1 0.000 0.000 0.000

Values from the calculation:
**Size of the total moment**: 0.000 Bohr magnetons per cell
**Formation energy from raw total energies**: 0.403 eV per atom
**DOS(E_F)**: 0.548 states/eV per cell

***

4.
Crystalline AsSe at its relaxed geometry. Source: Alexandria, functional PBE-GGA.

a = 4.623 Å, b = 4.623 Å, c = 9.865 Å
α = 90.00°, β = 90.00°, γ = 120.00°
Sites, in units of the cell vectors:
As1 0.333 0.667 0.750
As2 0.667 0.333 0.250
As3 0.000 0.000 0.750
Se1 0.333 0.667 0.025
Se2 0.667 0.333 0.525
As4 0.000 0.000 0.250
Se3 0.333 0.667 0.475
Se4 0.667 0.333 0.975

Values from the calculation:
**Size of the total moment**: 0.000 Bohr magnetons per cell
**Formation energy from raw total energies**: 0.391 eV per atom
**DOS(E_F)**: 5.143 states/eV per cell

***

5.
Crystalline As3Se at its relaxed geometry. Source: Alexandria, functional PBE-GGA.

a = 15.253 Å, b = 15.253 Å, c = 15.253 Å
α = 166.22°, β = 166.22°, γ = 19.54°
Sites, in units of the cell vectors:
As1 0.000 0.500 0.500
As2 0.165 0.165 0.000
As3 0.750 0.250 0.500
As4 0.250 0.750 0.500
Se1 0.366 0.366 0.000
Se2 0.634 0.634 0.000
As5 0.835 0.835 0.000
As6 0.500 0.000 0.500

Values from the calculation:
**Size of the total moment**: 0.000 Bohr magnetons per cell
**Energy relative to the lowest polymorph listed for this composition**: 243 meV/atom
**Formation energy from raw total energies**: 0.323 eV per atom
**DOS(E_F)**: 4.497 states/eV per cell

***

6.
Crystalline As2Se3 at its relaxed geometry. Source: Alexandria, functional PBE-GGA.

a = 8.504 Å, b = 7.063 Å, c = 7.004 Å
α = 74.39°, β = 53.12°, γ = 52.49°
Sites, in units of the cell vectors:
Se1 0.682 0.528 0.926
As1 0.485 0.404 0.759
Se2 0.324 0.386 0.568
As2 0.491 0.898 0.765
Se3 0.116 0.884 0.884
As3 0.846 0.765 0.898
Se4 0.864 0.926 0.528
Se5 0.366 0.134 0.134
As4 0.352 0.759 0.404
Se6 0.722 0.568 0.386

Values from the calculation:
**Size of the total moment**: 0.000 Bohr magnetons per cell
**Formation energy from raw total energies**: -0.028 eV per atom

***

7.
Crystalline AsSe5 at its relaxed geometry. Source: Alexandria, functional PBE-GGA.

a = 7.505 Å, b = 7.505 Å, c = 8.363 Å
α = 49.72°, β = 49.72°, γ = 27.45°
Sites, in units of the cell vectors:
Se1 0.055 0.055 0.631
As1 0.890 0.890 0.034
Se2 0.266 0.266 0.048
Se3 0.530 0.530 0.093
Se4 0.711 0.711 0.561
Se5 0.381 0.381 0.466

Values from the calculation:
**Size of the total moment**: 0.000 Bohr magnetons per cell
**Energy relative to the lowest polymorph listed for this composition**: 0 meV/atom
**Formation energy from raw total energies**: 0.021 eV per atom
**DOS(E_F)**: 0.945 states/eV per cell

***

8.
Crystalline As6Se7 at its relaxed geometry. Source: Alexandria, functional PBE-GGA.

a = 8.571 Å, b = 8.571 Å, c = 8.571 Å
α = 49.00°, β = 49.00°, γ = 49.00°
Sites, in units of the cell vectors:
Se1 0.423 0.916 0.423
Se2 0.916 0.423 0.423
Se3 0.577 0.084 0.577
As1 0.814 0.814 0.814
As2 0.916 0.916 0.916
As3 0.186 0.186 0.186
As4 0.673 0.673 0.673
Se4 0.500 0.500 0.500
As5 0.327 0.327 0.327
Se5 0.577 0.577 0.084
As6 0.084 0.084 0.084
Se6 0.423 0.423 0.916
Se7 0.084 0.577 0.577

Values from the calculation:
**Size of the total moment**: 0.000 Bohr magnetons per cell
**Formation energy from raw total energies**: 0.360 eV per atom
**DOS(E_F)**: 9.184 states/eV per cell

***

9.
Crystalline As5Se at its relaxed geometry. Source: Alexandria, functional PBE-GGA.

a = 5.347 Å, b = 5.347 Å, c = 4.897 Å
α = 90.00°, β = 90.00°, γ = 120.00°
Sites, in units of the cell vectors:
As1 0.333 0.667 0.500
As2 0.588 0.000 0.000
As3 0.667 0.333 0.500
As4 0.000 0.588 0.000
As5 0.412 0.412 0.000
Se1 0.000 0.000 0.500

Values from the calculation:
**Size of the total moment**: 0.000 Bohr magnetons per cell
**Energy relative to the lowest polymorph listed for this composition**: 388 meV/atom
**Formation energy from raw total energies**: 0.477 eV per atom
**DOS(E_F)**: 3.719 states/eV per cell

***

10.
Crystalline AsSe at its relaxed geometry. Source: Alexandria, functional PBE-GGA.

a = 5.950 Å, b = 7.387 Å, c = 11.216 Å
α = 90.00°, β = 90.00°, γ = 90.00°
Sites, in units of the cell vectors:
Se1 0.673 0.300 0.695
As1 0.233 0.021 0.647
As2 0.441 0.408 0.204
Se2 0.827 0.700 0.195
Se3 0.106 0.354 0.917
As3 0.767 0.521 0.853
Se4 0.173 0.200 0.305
As4 0.733 0.479 0.353
As5 0.059 0.592 0.704
Se5 0.894 0.854 0.583
Se6 0.327 0.800 0.805
As6 0.267 0.979 0.147
Se7 0.606 0.146 0.083
As7 0.941 0.092 0.796
Se8 0.394 0.646 0.417
As8 0.559 0.908 0.296

Values from the calculation:
**Size of the total moment**: 0.000 Bohr magnetons per cell
**Formation energy from raw total energies**: -0.024 eV per atom

***

11.
Crystalline SiAs2Se at its relaxed geometry. Source: Alexandria, functional PBE-GGA.

a = 6.108 Å, b = 6.108 Å, c = 4.153 Å
α = 76.37°, β = 76.37°, γ = 33.77°
Sites, in units of the cell vectors:
As1 0.456 0.456 0.464
As2 0.044 0.044 0.036
Si1 0.750 0.750 0.750
Se1 0.250 0.250 0.250

Values from the calculation:
**Size of the total moment**: 0.000 Bohr magnetons per cell
**Energy relative to the lowest polymorph listed for this composition**: 369 meV/atom
**Formation energy from raw total energies**: 0.311 eV per atom
**DOS(E_F)**: 1.459 states/eV per cell

***

12.
Crystalline SiAs2Se at its relaxed geometry. Source: Alexandria, functional PBE-GGA.

a = 3.788 Å, b = 4.512 Å, c = 5.003 Å
α = 69.28°, β = 90.00°, γ = 90.00°
Sites, in units of the cell vectors:
Se1 0.500 0.250 0.250
Si1 0.500 0.750 0.750
As1 0.000 0.992 0.956
As2 0.000 0.508 0.544

Values from the calculation:
**Size of the total moment**: 0.000 Bohr magnetons per cell
**Energy relative to the lowest polymorph listed for this composition**: 159 meV/atom
**Formation energy from raw total energies**: 0.101 eV per atom
**DOS(E_F)**: 1.664 states/eV per cell